w:
# TcIr2Br | Alexandria | GGA-PBE | relaxed
data_TcIr2Br
_chemical_formula_sum 'Tc1 Ir2 Br1'
_cell_length_a 2.781
_cell_length_b 3.642
_cell_length_c 7.215
_cell_angle_alpha 90.00
_cell_angle_beta 90.00
_cell_angle_gamma 90.00
_space_group_name_H-M_alt 'P 1'
_space_group_IT_number 1
_space_group_name_Hall 'P 1'
loop_
_atom_site_label
_atom_site_type_symbol
_atom_site_fract_x
_atom_site_fract_y
_atom_site_fract_z
Ir1 Ir 0.000 0.000 0.073
Br1 Br 0.500 0.500 0.725
Ir2 Ir 0.500 0.500 0.263
Tc1 Tc 0.000 0.000 0.440
# spin magnetization: 0.00 μB/f.u.



x:
# TcIr2Br | Alexandria | GGA-PBE | relaxed
data_TcIr2Br
_chemical_formula_sum 'Tc1 Ir2 Br1'
_cell_length_a 2.796
_cell_length_b 3.572
_cell_length_c 7.164
_cell_angle_alpha 90.00
_cell_angle_beta 90.00
_cell_angle_gamma 90.00
_space_group_name_H-M_alt 'P 1'
_space_group_IT_number 1
_space_group_name_Hall 'P 1'
loop_
_atom_site_label
_atom_site_type_symbol
_atom_site_fract_x
_atom_site_fract_y
_atom_site_fract_z
Tc1 Tc 0.500 0.500 0.250
Br1 Br 0.500 0.500 0.750
Ir1 Ir 0.000 0.000 0.439
Ir2 Ir 0.000 0.000 0.061
# spin magnetization: 0.20 μB/f.u.



y:
# TcIr2Br | Alexandria | GGA-PBE | relaxed
data_TcIr2Br
_chemical_formula_sum 'Tc1 Ir2 Br1'
_cell_length_a 4.791
_cell_length_b 4.791
_cell_length_c 2.782
_cell_angle_alpha 90.00
_cell_angle_beta 90.00
_cell_angle_gamma 90.00
_space_group_name_H-M_alt 'P 1'
_space_group_IT_number 1
_space_group_name_Hall 'P 1'
loop_
_atom_site_label
_atom_site_type_symbol
_atom_site_fract_x
_atom_site_fract_y
_atom_site_fract_z
Ir1 Ir 0.000 0.000 0.000
Tc1 Tc 0.500 0.000 0.500
Ir2 Ir 0.500 0.500 0.000
Br1 Br 0.000 0.500 0.500
# spin magnetization: 0.00 μB/f.u.



Relative calculated energies, zero for the most stable structure, unit meV/atom: w 0; x 7; y 368.



w:
# TcIr2Br | Alexandria | GGA-PBE | relaxed
data_TcIr2Br
_chemical_formula_sum 'Tc1 Ir2 Br1'
_cell_length_a 9.058
_cell_length_b 9.058
_cell_length_c 9.058
_cell_angle_alpha 18.22
_cell_angle_beta 18.22
_cell_angle_gamma 18.22
_space_group_name_H-M_alt 'P 1'
_space_group_IT_number 1
_space_group_name_Hall 'P 1'
loop_
_atom_site_label
_atom_site_type_symbol
_atom_site_fract_x
_atom_site_fract_y
_atom_site_fract_z
Br1 Br 0.243 0.243 0.243
Tc1 Tc 0.499 0.499 0.499
Ir1 Ir 0.754 0.754 0.754
Ir2 Ir 0.005 0.005 0.005
# spin magnetization: 0.21 μB/f.u.



x:
# TcIr2Br | Alexandria | GGA-PBE | relaxed
data_TcIr2Br
_chemical_formula_sum 'Tc1 Ir2 Br1'
_cell_length_a 3.602
_cell_length_b 2.810
_cell_length_c 7.033
_cell_angle_alpha 90.00
_cell_angle_beta 90.00
_cell_angle_gamma 90.00
_space_group_name_H-M_alt 'P 1'
_space_group_IT_number 1
_space_group_name_Hall 'P 1'
loop_
_atom_site_label
_atom_site_type_symbol
_atom_site_fract_x
_atom_site_fract_y
_atom_site_fract_z
Ir1 Ir 0.000 0.750 0.061
Ir2 Ir 0.000 0.750 0.439
Br1 Br 0.500 0.750 0.750
Tc1 Tc 0.500 0.250 0.250
# spin magnetization: 0.25 μB/f.u.



y:
# TcIr2Br | Alexandria | GGA-PBE | relaxed
data_TcIr2Br
_chemical_formula_sum 'Tc1 Ir2 Br1'
_cell_length_a 5.864
_cell_length_b 5.864
_cell_length_c 5.864
_cell_angle_alpha 152.49
_cell_angle_beta 134.59
_cell_angle_gamma 53.91
_space_group_name_H-M_alt 'P 1'
_space_group_IT_number 1
_space_group_name_Hall 'P 1'
loop_
_atom_site_label
_atom_site_type_symbol
_atom_site_fract_x
_atom_site_fract_y
_atom_site_fract_z
Ir1 Ir 0.529 0.529 0.000
Ir2 Ir 0.971 0.971 0.000
Br1 Br 0.250 0.750 0.500
Tc1 Tc 0.750 0.250 0.500
# spin magnetization: 0.02 μB/f.u.



z:
# TcIr2Br | Alexandria | GGA-PBE | relaxed
data_TcIr2Br
_chemical_formula_sum 'Tc1 Ir2 Br1'
_cell_length_a 3.698
_cell_length_b 2.787
_cell_length_c 6.935
_cell_angle_alpha 90.00
_cell_angle_beta 90.00
_cell_angle_gamma 90.00
_space_group_name_H-M_alt 'P 1'
_space_group_IT_number 1
_space_group_name_Hall 'P 1'
loop_
_atom_site_label
_atom_site_type_symbol
_atom_site_fract_x
_atom_site_fract_y
_atom_site_fract_z
Ir1 Ir 0.500 0.250 0.260
Br1 Br 0.500 0.750 0.734
Ir2 Ir 0.000 0.750 0.065
Tc1 Tc 0.000 0.750 0.440
# spin magnetization: 0.00 μB/f.u.



Relative calculated energies, zero for the most stable structure, unit meV/atom: w 69; x 0; y 268; z 9.



w:
# TeIrBr3 | Alexandria | GGA-PBE | relaxed
data_TeIrBr3
_chemical_formula_sum 'Te4 Ir4 Br12'
_cell_length_a 7.354
_cell_length_b 8.604
_cell_length_c 12.737
_cell_angle_alpha 90.00
_cell_angle_beta 91.02
_cell_angle_gamma 90.00
_space_group_name_H-M_alt 'P 1'
_space_group_IT_number 1
_space_group_name_Hall 'P 1'
loop_
_atom_site_label
_atom_site_type_symbol
_atom_site_fract_x
_atom_site_fract_y
_atom_site_fract_z
Br1 Br 0.885 0.650 0.441
Br2 Br 0.115 0.350 0.559
Br3 Br 0.779 0.580 0.717
Te1 Te 0.954 0.926 0.851
Br4 Br 0.221 0.580 0.783
Br5 Br 0.341 0.730 0.520
Br6 Br 0.779 0.420 0.217
Ir1 Ir 0.939 0.639 0.888
Br7 Br 0.659 0.730 0.980
Ir2 Ir 0.061 0.639 0.612
Br8 Br 0.659 0.270 0.480
Br9 Br 0.115 0.650 0.059
Br10 Br 0.341 0.270 0.020
Br11 Br 0.885 0.350 0.941
Te2 Te 0.046 0.926 0.649
Te3 Te 0.046 0.074 0.149
Ir3 Ir 0.939 0.361 0.388
Ir4 Ir 0.061 0.361 0.112
Br12 Br 0.221 0.420 0.283
Te4 Te 0.954 0.074 0.351
# spin magnetization: 0.00 μB/f.u.



x:
# TeIrBr3 | Alexandria | GGA-PBE | relaxed
data_TeIrBr3
_chemical_formula_sum 'Te1 Ir1 Br3'
_cell_length_a 5.076
_cell_length_b 5.076
_cell_length_c 5.076
_cell_angle_alpha 90.00
_cell_angle_beta 90.00
_cell_angle_gamma 90.00
_space_group_name_H-M_alt 'P 1'
_space_group_IT_number 1
_space_group_name_Hall 'P 1'
loop_
_atom_site_label
_atom_site_type_symbol
_atom_site_fract_x
_atom_site_fract_y
_atom_site_fract_z
Ir1 Ir 0.000 0.000 0.000
Br1 Br 0.500 0.000 0.000
Br2 Br 0.000 0.500 0.000
Br3 Br 0.000 0.000 0.500
Te1 Te 0.500 0.500 0.500
# spin magnetization: 0.00 μB/f.u.



Relative calculated energies, zero for the most stable structure, unit meV/atom: w 0; x 630.